Version P
Compound: CuSBr2
Source: the Alexandria database
Functional: PBE-GGA
Structure: relaxed

Geometry as CIF:
```
data_CuSBr2
_cell_length_a 6.584
_cell_length_b 6.584
_cell_length_c 7.238
_cell_angle_alpha 62.95
_cell_angle_beta 62.95
_cell_angle_gamma 90.00
_symmetry_space_group_name_H-M 'P 1'
_symmetry_Int_Tables_number 1
_symmetry_space_group_name_Hall 'P 1'
loop_
_atom_site_label
_atom_site_type_symbol
_atom_site_fract_x
_atom_site_fract_y
_atom_site_fract_z
Cu1 Cu 0.750 0.250 0.500
Cu2 Cu 0.000 0.000 0.000
S1 S 0.250 0.750 0.500
S2 S 0.500 0.500 0.000
Br1 Br 0.875 0.951 0.750
Br2 Br 0.049 0.625 0.250
Br3 Br 0.701 0.125 0.250
Br4 Br 0.375 0.299 0.750
```

Values from the calculation:
- Space group: I-42d (122)
- D(E_F): 0.0760 states/eV per atom
- Magnetization: 3.0 μB per formula unit

---

Version Q
Compound: CuSBr2
Source: the Alexandria database
Functional: PBE-GGA
Structure: relaxed

Geometry as CIF:
```
data_CuSBr2
_cell_length_a 4.863
_cell_length_b 4.863
_cell_length_c 4.863
_cell_angle_alpha 60.00
_cell_angle_beta 60.00
_cell_angle_gamma 60.00
_symmetry_space_group_name_H-M 'P 1'
_symmetry_Int_Tables_number 1
_symmetry_space_group_name_Hall 'P 1'
loop_
_atom_site_label
_atom_site_type_symbol
_atom_site_fract_x
_atom_site_fract_y
_atom_site_fract_z
Br1 Br 0.250 0.250 0.250
Br2 Br 0.750 0.750 0.750
Cu1 Cu 0.500 0.500 0.500
S1 S 0.000 0.000 0.000
```

Values from the calculation:
- Space group: Fm-3m (225)
- D(E_F): 1.8016 states/eV per atom
- Magnetization: 0.0 μB per formula unit

---

Least stable of them? version Q.

---

Version P
Compound: Cu2S2Br
Source: the Alexandria database
Functional: PBE-GGA
Structure: relaxed

Geometry as CIF:
```
data_Cu2S2Br
_cell_length_a 7.527
_cell_length_b 7.527
_cell_length_c 4.037
_cell_angle_alpha 90.00
_cell_angle_beta 90.00
_cell_angle_gamma 90.00
_symmetry_space_group_name_H-M 'P 1'
_symmetry_Int_Tables_number 1
_symmetry_space_group_name_Hall 'P 1'
loop_
_atom_site_label
_atom_site_type_symbol
_atom_site_fract_x
_atom_site_fract_y
_atom_site_fract_z
Br1 Br 0.000 0.000 0.000
Br2 Br 0.500 0.500 0.000
Cu1 Cu 0.380 0.120 0.500
Cu2 Cu 0.880 0.380 0.500
Cu3 Cu 0.120 0.620 0.500
Cu4 Cu 0.620 0.880 0.500
S1 S 0.689 0.811 0.000
S2 S 0.189 0.689 0.000
S3 S 0.311 0.189 0.000
S4 S 0.811 0.311 0.000
```

Values from the calculation:
- Space group: P4/mbm (127)
- D(E_F): 0.8072 states/eV per atom
- Magnetization: 0.0 μB per formula unit

---

Version Q
Compound: Cu2S2Br
Source: the Alexandria database
Functional: PBE-GGA
Structure: relaxed

Geometry as CIF:
```
data_Cu2S2Br
_cell_length_a 4.590
_cell_length_b 4.590
_cell_length_c 5.225
_cell_angle_alpha 63.94
_cell_angle_beta 63.94
_cell_angle_gamma 90.00
_symmetry_space_group_name_H-M 'P 1'
_symmetry_Int_Tables_number 1
_symmetry_space_group_name_Hall 'P 1'
loop_
_atom_site_label
_atom_site_type_symbol
_atom_site_fract_x
_atom_site_fract_y
_atom_site_fract_z
Br1 Br 0.000 0.000 0.000
S1 S 0.630 0.630 0.739
S2 S 0.370 0.370 0.261
Cu1 Cu 0.250 0.750 0.500
Cu2 Cu 0.750 0.250 0.500
```

Values from the calculation:
- Space group: I4/mmm (139)
- D(E_F): 0.8653 states/eV per atom
- Magnetization: 0.0 μB per formula unit

---

Least stable of them? version P.